# 1
Density functional theory data (PBE) for crystalline KYI2F at its relaxed geometry.

The space group is P4/mmm (No. 123) and the conventional cell measures 6.248, 6.248 and 4.415 Å, with angles of 90.00, 90.00 and 90.00 degrees. The inequivalent atoms are K at (0.000, 0.000, 0.000), Y at (0.500, 0.500, 0.500), I at (0.000, 0.500, 0.500) and F at (0.500, 0.500, 0.000).

For the total magnetic moment, the calculation gives 0.2 μB/f.u. The total energy comes out at -4.36 eV/atom. Its formation energy from raw total energies is -1.853 eV per atom.

=====

# 2
Density functional theory data (PBE) for crystalline K2ZrI4F2 at its relaxed geometry.

The space group is C2/m (No. 12) and the conventional cell measures 12.723, 8.392 and 6.292 Å, with angles of 90.00, 104.64 and 90.00 degrees. The inequivalent atoms are K at (0.198, 0.000, 0.358), Zr at (0.000, 0.500, 0.000), I at (0.100, 0.248, 0.802) and F at (0.130, 0.500, 0.261).

For the total magnetic moment, the calculation gives 0.0 μB/f.u. The total energy comes out at -4.16 eV/atom. Its formation energy from raw total energies is -1.858 eV per atom.

=====

# 3
Density functional theory data (PBE) for crystalline La2I5F at its relaxed geometry.

The space group is Cmcm (No. 63) and the conventional cell measures 3.939, 16.139 and 22.084 Å, with angles of 90.00, 90.00 and 90.00 degrees. The inequivalent atoms are La at (0.000, 0.249, 0.162), I at (0.000, 0.107, 0.621), I at (0.000, 0.344, 0.573), I at (0.000, 0.392, 0.750) and F at (0.000, 0.211, 0.750).

For the total magnetic moment, the calculation gives 0.0 μB/f.u. The total energy comes out at -4.14 eV/atom. Its formation energy from raw total energies is -1.705 eV per atom.

=====

# 4
Density functional theory data (PBE) for crystalline LaIF2 at its relaxed geometry.

The space group is R-3m (No. 166, hexagonal axes) and the conventional cell measures 4.1891, 4.1891 and 17.1634 Å, with angles of 90.00, 90.00 and 120.00 degrees. The inequivalent atoms are La at (0.0000, 0.0000, 0.0000), I at (0.0000, 0.0000, 0.5000) and F at (0.0000, 0.0000, 0.3061).

For the total magnetic moment, the calculation gives 0.0 μB/f.u. The total energy comes out at -5.76 eV/atom. The excess energy over the best structure of this formula in the dataset is 49 meV per atom. Its formation energy from raw total energies is -3.204 eV per atom.

=====

# 5
Density functional theory data (PBE) for crystalline LaIF2 at its relaxed geometry.

The space group is Cmcm (No. 63) and the conventional cell measures 4.088, 12.123 and 7.396 Å, with angles of 90.00, 90.00 and 90.00 degrees. The inequivalent atoms are La at (0.000, 0.237, 0.250), I at (0.000, 0.046, 0.750) and F at (0.000, 0.303, 0.571).

For the total magnetic moment, the calculation gives 0.0 μB/f.u. The total energy comes out at -5.81 eV/atom. The excess energy over the best structure of this formula in the dataset is 0 meV per atom. Its formation energy from raw total energies is -3.253 eV per atom.

=====

# 6
Density functional theory data (PBE) for crystalline LaI2F at its relaxed geometry.

The space group is Fm-3m (No. 225) and the conventional cell measures 7.644, 7.644 and 7.644 Å, with angles of 90.00, 90.00 and 90.00 degrees. The inequivalent atoms are La at (0.000, 0.000, 0.000), I at (0.250, 0.250, 0.250) and F at (0.000, 0.000, 0.500).

For the total magnetic moment, the calculation gives 0.0 μB/f.u. The total energy comes out at -4.22 eV/atom. The excess energy over the best structure of this formula in the dataset is 694 meV per atom. Its formation energy from raw total energies is -1.741 eV per atom.

=====

# 7
Density functional theory data (PBE) for crystalline LaI2F at its relaxed geometry.

The space group is I-42d (No. 122) and the conventional cell measures 5.295, 5.295 and 19.981 Å, with angles of 90.00, 90.00 and 90.00 degrees. The inequivalent atoms are La at (0.000, 0.000, 0.000), I at (0.249, 0.250, 0.625) and F at (0.000, 0.000, 0.500).

For the total magnetic moment, the calculation gives 0.0 μB/f.u. The total energy comes out at -3.86 eV/atom. The excess energy over the best structure of this formula in the dataset is 1045 meV per atom. Its formation energy from raw total energies is -1.389 eV per atom.

=====

# 8
Density functional theory data (PBE) for crystalline LaIF2 at its relaxed geometry.

The space group is Fm-3m (No. 225) and the conventional cell measures 6.758, 6.758 and 6.758 Å, with angles of 90.00, 90.00 and 90.00 degrees. The inequivalent atoms are La at (0.000, 0.000, 0.000), I at (0.000, 0.000, 0.500) and F at (0.250, 0.250, 0.250).

For the total magnetic moment, the calculation gives 0.0 μB/f.u. The total energy comes out at -5.19 eV/atom. The excess energy over the best structure of this formula in the dataset is 619 meV per atom. Its formation energy from raw total energies is -2.634 eV per atom.

=====

# 9
Density functional theory data (PBE) for crystalline La2IF2 at its relaxed geometry.

The space group is I4/mmm (No. 139) and the conventional cell measures 3.908, 3.908 and 14.926 Å, with angles of 90.00, 90.00 and 90.00 degrees. The inequivalent atoms are La at (0.000, 0.000, 0.136), I at (0.000, 0.000, 0.500) and F at (0.000, 0.500, 0.250).

For the total magnetic moment, the calculation gives 0.8 μB/f.u. The total energy comes out at -5.39 eV/atom. Its formation energy from raw total energies is -2.362 eV per atom.

=====

# 10
Density functional theory data (PBE) for crystalline LaIF2 at its relaxed geometry.

The space group is R-3m (No. 166, hexagonal axes) and the conventional cell measures 3.7826, 3.7826 and 32.3905 Å, with angles of 90.00, 90.00 and 120.00 degrees. The inequivalent atoms are La at (0.0000, 0.0000, 0.0000), I at (0.0000, 0.0000, 0.5000) and F at (0.0000, 0.0000, 0.0644).

For the total magnetic moment, the calculation gives 0.0 μB/f.u. The total energy comes out at -4.32 eV/atom. The excess energy over the best structure of this formula in the dataset is 1490 meV per atom. Its formation energy from raw total energies is -1.763 eV per atom.

=====

# 11
Density functional theory data (PBE) for crystalline LaIF2 at its relaxed geometry.

The space group is I4_1/amd (No. 141, origin choice 2) and the conventional cell measures 5.323, 5.323 and 14.883 Å, with angles of 90.00, 90.00 and 90.00 degrees. The inequivalent atoms are La at (0.000, 0.250, 0.375), I at (0.000, 0.250, 0.875) and F at (0.000, 0.000, 0.500).

For the total magnetic moment, the calculation gives 0.0 μB/f.u. The total energy comes out at -5.67 eV/atom. The excess energy over the best structure of this formula in the dataset is 141 meV per atom. Its formation energy from raw total energies is -3.112 eV per atom.

=====

# 12
Density functional theory data (PBE) for crystalline La3IF at its relaxed geometry.

The space group is Pm-3m (No. 221) and the conventional cell measures 5.130, 5.130 and 5.130 Å, with angles of 90.00, 90.00 and 90.00 degrees. The inequivalent atoms are La at (0.000, 0.000, 0.500), I at (0.500, 0.500, 0.500) and F at (0.000, 0.000, 0.000).

For the total magnetic moment, the calculation gives 0.0 μB/f.u. The total energy comes out at -4.75 eV/atom. The excess energy over the best structure of this formula in the dataset is 0 meV per atom. Its formation energy from raw total energies is -1.106 eV per atom.

=====

# 13
Density functional theory data (PBE) for crystalline LaIF2 at its relaxed geometry.

The space group is Pnma (No. 62) and the conventional cell measures 16.481, 7.304 and 6.344 Å, with angles of 90.00, 90.00 and 90.00 degrees. The inequivalent atoms are La at (0.071, 0.250, 0.023), La at (0.164, 0.750, 0.170), I at (0.100, 0.750, 0.672), I at (0.144, 0.250, 0.523), F at (0.041, 0.572, 0.154) and F at (0.184, 0.047, 0.036).

For the total magnetic moment, the calculation gives 0.0 μB/f.u. The total energy comes out at -5.74 eV/atom. The excess energy over the best structure of this formula in the dataset is 68 meV per atom. Its formation energy from raw total energies is -3.185 eV per atom.

=====

# 14
Density functional theory data (PBE) for crystalline LaI2F at its relaxed geometry.

The space group is R3m (No. 160, hexagonal axes) and the conventional cell measures 4.3194, 4.3194 and 25.5893 Å, with angles of 90.00, 90.00 and 120.00 degrees. The inequivalent atoms are La at (0.0000, 0.0000, 0.0000), I at (0.0000, 0.0000, 0.5794), I at (0.0000, 0.0000, 0.7539) and F at (0.0000, 0.0000, 0.3334).

For the total magnetic moment, the calculation gives 0.0 μB/f.u. The total energy comes out at -4.91 eV/atom. The excess energy over the best structure of this formula in the dataset is 0 meV per atom. Its formation energy from raw total energies is -2.435 eV per atom.

=====

# 15
Density functional theory data (PBE) for crystalline LaI2NF at its relaxed geometry.

The space group is P4/mmm (No. 123) and the conventional cell measures 5.783, 5.783 and 3.893 Å, with angles of 90.00, 90.00 and 90.00 degrees. The inequivalent atoms are La at (0.000, 0.000, 0.000), I at (0.000, 0.500, 0.500), N at (0.500, 0.500, 0.000) and F at (0.500, 0.500, 0.500).

For the total magnetic moment, the calculation gives 2.2 μB/f.u. The total energy comes out at -3.57 eV/atom. The excess energy over the best structure of this formula in the dataset is 267 meV per atom. Its formation energy from raw total energies is 0.073 eV per atom.

=====

# 16
Density functional theory data (PBE) for crystalline La2I2NF at its relaxed geometry.

The space group is Ibam (No. 72) and the conventional cell measures 6.041, 19.839 and 5.946 Å, with angles of 90.00, 90.00 and 90.00 degrees. The inequivalent atoms are La at (0.215, 0.063, 0.000), I at (0.245, 0.343, 0.000), N at (0.000, 0.000, 0.250) and F at (0.000, 0.500, 0.250).

For the total magnetic moment, the calculation gives 0.0 μB/f.u. The total energy comes out at -6.13 eV/atom. Its formation energy from raw total energies is -2.270 eV per atom.

=====

# 17
Density functional theory data (PBE) for crystalline LaI2NF at its relaxed geometry.

The space group is P4/mmm (No. 123) and the conventional cell measures 6.555, 6.555 and 4.179 Å, with angles of 90.00, 90.00 and 90.00 degrees. The inequivalent atoms are La at (0.000, 0.000, 0.000), I at (0.000, 0.500, 0.000), N at (0.000, 0.000, 0.500) and F at (0.500, 0.500, 0.500).

For the total magnetic moment, the calculation gives 2.3 μB/f.u. The total energy comes out at -3.84 eV/atom. The excess energy over the best structure of this formula in the dataset is 0 meV per atom. Its formation energy from raw total energies is -0.194 eV per atom.

=====

# 18
Density functional theory data (PBE) for crystalline LaIO4F at its relaxed geometry.

The space group is C2/m (No. 12) and the conventional cell measures 9.846, 7.613 and 6.947 Å, with angles of 90.00, 99.55 and 90.00 degrees. The inequivalent atoms are La at (0.195, 0.000, 0.117), I at (0.140, 0.500, 0.317), O at (0.055, 0.500, 0.751), O at (0.187, 0.324, 0.157), O at (0.205, 0.000, 0.479) and F at (0.032, 0.000, 0.828).

For the total magnetic moment, the calculation gives 1.0 μB/f.u. The total energy comes out at -5.71 eV/atom. Its formation energy from raw total energies is -1.683 eV per atom.

=====

# 19
Density functional theory data (PBE) for crystalline La6Os2I3F at its relaxed geometry.

The space group is C2/m (No. 12) and the conventional cell measures 7.274, 12.602 and 8.599 Å, with angles of 90.00, 106.32 and 90.00 degrees. The inequivalent atoms are La at (0.218, 0.000, 0.186), La at (0.234, 0.328, 0.186), Os at (0.000, 0.167, 0.000), I at (0.000, 0.000, 0.500), I at (0.000, 0.332, 0.500) and F at (0.000, 0.500, 0.000).

For the total magnetic moment, the calculation gives 0.0 μB/f.u. The total energy comes out at -5.99 eV/atom. Its formation energy from raw total energies is -1.110 eV per atom.

=====

# 20
Density functional theory data (PBE) for crystalline La8P3I4F at its relaxed geometry.

The space group is R-3m (No. 166, hexagonal axes) and the conventional cell measures 8.4295, 8.4295 and 23.5120 Å, with angles of 90.00, 90.00 and 120.00 degrees. The inequivalent atoms are La at (0.0000, 0.0000, 0.2324), La at (0.0011, 0.5005, 0.2308), P at (0.0000, 0.5000, 0.5000), I at (0.0000, 0.0000, 0.0000), I at (0.0000, 0.5000, 0.0000) and F at (0.0000, 0.0000, 0.5000).

For the total magnetic moment, the calculation gives 0.0 μB/f.u. The total energy comes out at -5.47 eV/atom. Its formation energy from raw total energies is -1.485 eV per atom.